A plane-wave DFT calculation with SCAN was carried out for a PBEsol-optimized structure of KBe2Pt.

## Properties
Symmetry: I-4m2, No. 119
Offset from the most stable computed form: 978 meV per atom

abc: 4.9902 4.9902 4.9902
angles: 133.49 133.49 67.89
With the nearest neighbours (Å) after each atom.
Sites, in units of the cell vectors:
K1 0.0000 0.0000 0.0000  8 Be 2.79-2.86, 4 Pt 2.86
Be1 0.2500 0.7500 0.5000  4 Pt 2.79, 4 K 2.86, 4 Be 2.86
Be2 0.5000 0.5000 0.0000  4 K 2.79, 4 Be 2.86, 4 Pt 2.86
Pt1 0.7500 0.2500 0.5000  8 Be 2.79-2.86, 4 K 2.86

A plane-wave DFT calculation with SCAN was carried out for a PBEsol-optimized structure of SrY3F.

## Properties
Symmetry: Pm-3m, No. 221
E_form (uncorrected): -0.778 eV/atom

abc: 5.1068 5.1068 5.1068
angles: 90.00 90.00 90.00
With the nearest neighbours (Å) after each atom.
Sites, in units of the cell vectors:
Sr1 0.0000 0.0000 0.0000  12 Y 3.61
Y1 0.0000 0.5000 0.5000  2 F 2.55
Y2 0.5000 0.0000 0.5000  2 F 2.55
Y3 0.5000 0.5000 0.0000  2 F 2.55
F1 0.5000 0.5000 0.5000  6 Y 2.55

A plane-wave DFT calculation with SCAN was carried out for a PBEsol-optimized structure of KMnSeN2.

## Properties
Symmetry: P4/mmm, No. 123
E_form (uncorrected): 1.809 eV/atom

abc: 4.5837 4.5837 6.1144
angles: 90.00 90.00 90.00
With the nearest neighbours (Å) after each atom.
Sites, in units of the cell vectors:
K1 0.0000 0.0000 0.0000  4 N 2.29
Mn1 0.5000 0.5000 0.5000  4 Se 3.24
Se1 0.0000 0.0000 0.5000  2 K 3.06, 4 Mn 3.24
N1 0.0000 0.5000 0.0000  2 K 2.29
N2 0.5000 0.0000 0.0000  2 K 2.29

A plane-wave DFT calculation with SCAN was carried out for a PBEsol-optimized structure of ReRuSeBr2.

## Properties
Symmetry: P4/mmm, No. 123
E_form (uncorrected): 1.186 eV/atom

abc: 5.0949 5.0949 4.6425
angles: 90.00 90.00 90.00
With the nearest neighbours (Å) after each atom.
Sites, in units of the cell vectors:
Re1 0.0000 0.0000 0.0000  2 Se 2.32, 4 Br 2.55
Ru1 0.5000 0.5000 0.5000  8 Br 3.45, 4 Se 3.60
Se1 0.0000 0.0000 0.5000  2 Re 2.32
Br1 0.0000 0.5000 0.0000  2 Re 2.55
Br2 0.5000 0.0000 0.0000  2 Re 2.55

A plane-wave DFT calculation with SCAN was carried out for a PBEsol-optimized structure of RbLa3B.

## Properties
DFT total energy: -148.0 eV/cell
Symmetry: Pm-3m, No. 221

abc: 5.4511 5.4511 5.4511
angles: 90.00 90.00 90.00
With the nearest neighbours (Å) after each atom.
Sites, in units of the cell vectors:
Rb1 0.0000 0.0000 0.0000  6 La 2.73
La1 0.0000 0.0000 0.5000  2 Rb 2.73
La2 0.0000 0.5000 0.0000  2 Rb 2.73
La3 0.5000 0.0000 0.0000  2 Rb 2.73
B1 0.5000 0.5000 0.5000  12 La 3.85

A plane-wave DFT calculation with SCAN was carried out for a PBEsol-optimized structure of TaCdIr.

## Properties
DFT total energy: -168.0 eV/cell
Symmetry: F-43m, No. 216

abc: 4.3613 4.3613 4.3613
angles: 60.00 60.00 60.00
With the nearest neighbours (Å) after each atom.
Sites, in units of the cell vectors:
Ta1 0.0000 0.0000 0.0000  4 Ir 2.67
Cd1 0.5000 0.5000 0.5000  4 Ir 2.67
Ir1 0.7500 0.7500 0.7500  4 Cd 2.67, 4 Ta 2.67

A plane-wave DFT calculation with SCAN was carried out for a PBEsol-optimized structure of Fe2AsPt.

## Properties
DFT total energy: -127.2 eV/cell
Symmetry: Cmmm, No. 65

abc: 4.5694 4.5694 2.7502
angles: 90.00 90.00 112.19
With the nearest neighbours (Å) after each atom.
Sites, in units of the cell vectors:
Fe1 0.0000 0.5000 0.0000  4 Fe 2.55-2.75, 4 As 2.67, 4 Pt 2.67
Fe2 0.5000 0.0000 0.0000  4 Fe 2.55-2.75, 4 As 2.67, 4 Pt 2.67
As1 0.0000 0.0000 0.5000  2 Pt 2.55, 8 Fe 2.67, 2 As 2.75
Pt1 0.5000 0.5000 0.5000  2 As 2.55, 8 Fe 2.67, 2 Pt 2.75

A plane-wave DFT calculation with SCAN was carried out for a PBEsol-optimized structure of SnSbOF2.

## Properties
Symmetry: P4/mmm, No. 123
E_form (uncorrected): -1.028 eV/atom

abc: 4.4601 4.4601 4.1148
angles: 90.00 90.00 90.00
With the nearest neighbours (Å) after each atom.
Sites, in units of the cell vectors:
Sn1 0.0000 0.0000 0.0000  2 O 2.06, 4 F 2.23
Sb1 0.5000 0.5000 0.5000  8 F 3.03, 4 O 3.15
O1 0.0000 0.0000 0.5000  2 Sn 2.06
F1 0.0000 0.5000 0.0000  2 Sn 2.23
F2 0.5000 0.0000 0.0000  2 Sn 2.23

A plane-wave DFT calculation with SCAN was carried out for a PBEsol-optimized structure of LaCuBr2.

## Properties
Symmetry: I4/mmm, No. 139
Offset from the most stable computed form: 13 meV per atom
E_form (uncorrected): -0.969 eV/atom

abc: 5.3480 5.3480 5.3480
angles: 128.18 128.18 76.34
With the nearest neighbours (Å) after each atom.
Sites, in units of the cell vectors:
La1 0.0000 0.0000 0.0000  8 Br 3.14, 4 Cu 3.30
Cu1 0.5000 0.5000 0.0000  8 Br 3.14, 4 La 3.30
Br1 0.2500 0.7500 0.5000  4 La 3.14, 4 Cu 3.14, 4 Br 3.30
Br2 0.7500 0.2500 0.5000  4 La 3.14, 4 Cu 3.14, 4 Br 3.30

A plane-wave DFT calculation with SCAN was carried out for a PBEsol-optimized structure of HfTi2Ge2.

## Properties
DFT total energy: -273.1 eV/cell
Symmetry: P4/mbm, No. 127

abc: 6.9509 6.9509 3.4051
angles: 90.00 90.00 90.00
With the nearest neighbours (Å) after each atom.
Sites, in units of the cell vectors:
Hf1 0.0000 0.0000 0.0000  4 Ge 2.73
Hf2 0.5000 0.5000 0.0000  4 Ge 2.73
Ti1 0.1692 0.3308 0.5000  6 Ge 2.61-2.70
Ti2 0.3308 0.8308 0.5000  6 Ge 2.61-2.70
Ti3 0.6692 0.1692 0.5000  6 Ge 2.61-2.70
Ti4 0.8308 0.6692 0.5000  6 Ge 2.61-2.70
Ge1 0.1302 0.6302 0.0000  1 Ge 2.56, 6 Ti 2.61-2.70, 2 Hf 2.73
Ge2 0.3698 0.1302 0.0000  1 Ge 2.56, 6 Ti 2.61-2.70, 2 Hf 2.73
Ge3 0.6302 0.8698 0.0000  1 Ge 2.56, 6 Ti 2.61-2.70, 2 Hf 2.73
Ge4 0.8698 0.3698 0.0000  1 Ge 2.56, 6 Ti 2.61-2.70, 2 Hf 2.73

A plane-wave DFT calculation with SCAN was carried out for a PBEsol-optimized structure of LaNiRh2.

## Properties
Symmetry: P4/mmm, No. 123
Offset from the most stable computed form: 0 meV per atom

abc: 4.0444 4.0444 3.9566
angles: 90.00 90.00 90.00
With the nearest neighbours (Å) after each atom.
Sites, in units of the cell vectors:
La1 0.0000 0.0000 0.0000  8 Rh 2.83, 4 Ni 2.86
Ni1 0.5000 0.5000 0.0000  8 Rh 2.83, 4 La 2.86
Rh1 0.0000 0.5000 0.5000  4 La 2.83, 4 Ni 2.83, 4 Rh 2.86
Rh2 0.5000 0.0000 0.5000  4 La 2.83, 4 Ni 2.83, 4 Rh 2.86

A plane-wave DFT calculation with SCAN was carried out for a PBEsol-optimized structure of Sr3CaV4O12.

## Properties
Symmetry: Pmmm, No. 47
Offset from the most stable computed form: 0 meV per atom
E_form (uncorrected): -3.042 eV/atom

abc: 3.7934 5.3814 10.7545
angles: 90.00 90.00 90.00
With the nearest neighbours (Å) after each atom.
Sites, in units of the cell vectors:
Sr1 0.0000 0.0000 0.0000  12 O 2.69-2.73
Sr2 0.0000 0.5000 0.2508  12 O 2.68-2.70
Sr3 0.0000 0.5000 0.7492  12 O 2.68-2.70
Ca1 0.0000 0.0000 0.5000  12 O 2.65-2.69
V1 0.5000 0.0000 0.2523  6 O 1.89-1.91
V2 0.5000 0.0000 0.7477  6 O 1.89-1.91
V3 0.5000 0.5000 0.0000  6 O 1.90-1.91
V4 0.5000 0.5000 0.5000  6 O 1.89-1.90
O1 0.0000 0.0000 0.2538  2 V 1.90
O2 0.0000 0.0000 0.7462  2 V 1.90
O3 0.0000 0.5000 0.0000  2 V 1.90
O4 0.0000 0.5000 0.5000  2 V 1.90
O5 0.5000 0.2477 0.3771  2 V 1.89
O6 0.5000 0.2477 0.6229  2 V 1.89
O7 0.5000 0.2498 0.1259  2 V 1.91
O8 0.5000 0.2498 0.8741  2 V 1.91
O9 0.5000 0.7502 0.1259  2 V 1.91
O10 0.5000 0.7502 0.8741  2 V 1.91
O11 0.5000 0.7523 0.3771  2 V 1.89
O12 0.5000 0.7523 0.6229  2 V 1.89